1.
Compound: K2UMnSe4
Source: the Alexandria database
Functional: PBE
Structure: relaxed

Unit cell a=8.5965 b=8.5965 c=8.5965 alpha=120.40 beta=119.97 gamma=89.67
Fractional positions:
K (0.0000, 0.0000, 0.0000)
K (0.5000, 0.0000, 0.0000)
K (0.5000, 0.0000, 0.5000)
K (0.5000, 0.5000, 0.5000)
U (0.0000, 0.5000, 0.5000)
U (0.5000, 0.5000, 0.0000)
Mn (0.0000, 0.0000, 0.5000)
Mn (0.0000, 0.5000, 0.0000)
Se (0.1908, 0.7329, 0.4578)
Se (0.2249, 0.2671, 0.9578)
Se (0.2370, 0.2655, 0.5285)
Se (0.2370, 0.7085, 0.9715)
Se (0.7630, 0.2915, 0.0285)
Se (0.7630, 0.7345, 0.4715)
Se (0.7751, 0.7329, 0.0422)
Se (0.8092, 0.2671, 0.5422)

Summary:
Uncorrected energy, eV per atom: -5.58
Energy relative to the elements, uncorrected, meV/atom: -1006
Theoretical density, Mg/m³: 5.09
Total magnetization, μB per atom: 0.875

2.
Compound: CoBiCl2
Source: the Alexandria database
Functional: PBE
Structure: relaxed

Unit cell a=6.9730 b=6.9730 c=6.9730 alpha=90.00 beta=90.00 gamma=90.00
Fractional positions:
Co (0.0000, 0.0000, 0.0000)
Co (0.0000, 0.5000, 0.5000)
Co (0.5000, 0.0000, 0.5000)
Co (0.5000, 0.5000, 0.0000)
Bi (0.0000, 0.0000, 0.5000)
Bi (0.0000, 0.5000, 0.0000)
Bi (0.5000, 0.0000, 0.0000)
Bi (0.5000, 0.5000, 0.5000)
Cl (0.2500, 0.2500, 0.2500)
Cl (0.2500, 0.2500, 0.7500)
Cl (0.2500, 0.7500, 0.2500)
Cl (0.2500, 0.7500, 0.7500)
Cl (0.7500, 0.2500, 0.2500)
Cl (0.7500, 0.2500, 0.7500)
Cl (0.7500, 0.7500, 0.2500)
Cl (0.7500, 0.7500, 0.7500)

Summary:
Uncorrected energy, eV per atom: -3.22
Energy relative to the elements, uncorrected, meV/atom: 449
Theoretical density, Mg/m³: 6.64
Total magnetization, μB per atom: 0.386

3.
Compound: NiAgSe2
Source: the Alexandria database
Functional: PBE
Structure: relaxed

Unit cell a=5.2193 b=5.2193 c=11.1515 alpha=90.00 beta=90.00 gamma=90.00
Fractional positions:
Ni (0.0000, 0.2500, 0.3750)
Ni (0.0000, 0.7500, 0.6250)
Ni (0.5000, 0.2500, 0.1250)
Ni (0.5000, 0.7500, 0.8750)
Ag (0.0000, 0.2500, 0.8750)
Ag (0.0000, 0.7500, 0.1250)
Ag (0.5000, 0.2500, 0.6250)
Ag (0.5000, 0.7500, 0.3750)
Se (0.0000, 0.2500, 0.1636)
Se (0.0000, 0.2500, 0.5864)
Se (0.0000, 0.7500, 0.4136)
Se (0.0000, 0.7500, 0.8364)
Se (0.5000, 0.2500, 0.3364)
Se (0.5000, 0.2500, 0.9136)
Se (0.5000, 0.7500, 0.0864)
Se (0.5000, 0.7500, 0.6636)

Summary:
Uncorrected energy, eV per atom: -3.99
Energy relative to the elements, uncorrected, meV/atom: -90
Theoretical density, Mg/m³: 7.09
Total magnetization, μB per atom: 0.000

- The highest energy relative to the elements, uncorrected belongs to which entry?
  CoBiCl2

- Look up the total magnetization of the second one.
  0.386 μB per atom

- Among the records above, which one has the highest total magnetization?
  K2UMnSe4

- The lowest uncorrected energy belongs to which entry?
  K2UMnSe4